VASP calculation (PBE-GGA) on crystalline Bi2RuPb at its relaxed geometry.

a b c (Å): 11.5044 11.5044 11.5044
angles (deg): 16.68 16.68 16.68
Element x y z (fractional)
Bi (0.0770, 0.0770, 0.0770)
Bi (0.9230, 0.9230, 0.9230)
Ru (0.0000, 0.0000, 0.0000)
Pb (0.5000, 0.5000, 0.5000)

Output
* space group: No. 166
* DFT formation energy: 685 meV per atom

***

VASP calculation (PBE-GGA) on crystalline Y3In at its relaxed geometry.

a b c (Å): 6.9912 6.9912 4.8042
angles (deg): 90.00 90.00 84.82
Element x y z (fractional)
Y (0.1166, 0.3650, 0.7500)
Y (0.1419, 0.8581, 0.7500)
Y (0.3650, 0.1166, 0.2500)
Y (0.6350, 0.8834, 0.7500)
Y (0.8581, 0.1419, 0.2500)
Y (0.8834, 0.6350, 0.2500)
In (0.3868, 0.6132, 0.2500)
In (0.6132, 0.3868, 0.7500)

Output
* space group: No. 63
* DFT formation energy: -148 meV per atom

***

Number 1: total DFT energy (no corrections) -4.502 eV per atom, magnetization 0.000 μB/f.u.. Number 2: total DFT energy (no corrections) -5.680 eV per atom, magnetization 0.000 μB/f.u..